This record from the Alexandria database describes CaPmAu2O8 after structural relaxation. The functional is PBE-GGA.

Summary:
Calculated density: 7.01 g/cm3
Raw formation energy: -91 kJ per mole of atoms

abc: 5.5328 5.5328 6.7231
angles: 114.30 114.30 90.00
Element x y z (fractional)
Ca (0.7500, 0.2500, 0.5000)
Pm (0.0000, 0.0000, 0.0000)
Au (0.5000, 0.5000, 0.0000)
Au (0.2500, 0.7500, 0.5000)
O (0.6527, 0.8707, 0.0741)
O (0.4215, 0.2034, 0.0741)
O (0.6810, 0.7025, 0.5708)
O (0.8898, 0.8683, 0.5708)
O (0.1317, 0.3190, 0.4292)
O (0.2975, 0.1102, 0.4292)
O (0.1293, 0.5785, 0.9259)
O (0.7966, 0.3473, 0.9259)